Record 1
A relaxed Er12Ni6Pt crystal. Source: the Alexandria database, functional PBE-GGA.

abc: 9.473 9.473 9.473
angles: 90.00 90.00 90.00
Space group Im-3 (No. 204)
One atom of each set of equivalent atoms:
Er: 0.000 0.184 0.297 x24
Ni: 0.000 0.373 0.500 x12
Pt: 0.000 0.000 0.000 x2

Properties
VASP energy	-5.4465	eV/atom
DOS(E_F)	1.259	states/eV/atom
distance to the lowest polymorph of the same formula	0.00	eV/f.u.
formation energy	-0.42	eV/atom

Record 2
A relaxed ErNi6Pt6 crystal. Source: the Alexandria database, functional PBE-GGA.

abc: 4.953 8.580 8.749
angles: 90.00 90.00 90.00
Space group Immm (No. 71)
One atom of each set of equivalent atoms:
Er: 0.000 0.000 0.000 x2
Ni: 0.000 0.500 0.265 x4
Ni: 0.250 0.250 0.250 x8
Pt: 0.000 0.000 0.342 x4
Pt: 0.000 0.306 0.500 x4
Pt: 0.000 0.342 0.000 x4

Properties
VASP energy	-6.1356	eV/atom
DOS(E_F)	1.237	states/eV/atom
formation energy	-0.33	eV/atom

Record 3
A relaxed ErNiPt6 crystal. Source: the Alexandria database, functional PBE-GGA.

abc: 3.999 3.999 8.020
angles: 90.00 90.00 90.00
Space group P4/mmm (No. 123)
One atom of each set of equivalent atoms:
Er: 0.000 0.000 0.000 x1
Ni: 0.000 0.000 0.500 x1
Pt: 0.000 0.500 0.265 x4
Pt: 0.500 0.500 0.000 x1
Pt: 0.500 0.500 0.500 x1

Properties
VASP energy	-6.3469	eV/atom
DOS(E_F)	1.669	states/eV/atom
formation energy	-0.52	eV/atom

Record 4
A relaxed Er12NiPt6 crystal. Source: the Alexandria database, functional PBE-GGA.

abc: 12.4144 12.4144 11.4697
angles: 90.00 90.00 120.00
Space group R-3 (No. 148, hexagonal axes)
One atom of each set of equivalent atoms:
Er: 0.0296 0.8136 0.3932 x18
Er: 0.0438 0.8401 0.8858 x18
Ni: 0.0000 0.0000 0.0000 x3
Pt: 0.0469 0.7810 0.6473 x18

Properties
VASP energy	-5.9524	eV/atom
DOS(E_F)	0.938	states/eV/atom
formation energy	-0.86	eV/atom

Record 5
A relaxed Er4Ni2Pt crystal. Source: the Alexandria database, functional PBE-GGA.

abc: 8.761 11.915 6.923
angles: 90.00 120.24 90.00
Space group Cc (No. 9)
One atom of each set of equivalent atoms:
Er: 0.000 0.004 0.000 x4
Er: 0.059 0.435 0.332 x4
Er: 0.229 0.237 0.753 x4
Er: 0.365 0.191 0.333 x4
Ni: 0.036 0.190 0.284 x4
Ni: 0.287 0.022 0.944 x4
Pt: 0.247 0.386 0.089 x4

Properties
VASP energy	-5.7343	eV/atom
DOS(E_F)	0.556	states/eV/atom
formation energy	-0.61	eV/atom

Record 6
A relaxed Er3Ni12Pt5 crystal. Source: the Alexandria database, functional PBE-GGA.

abc: 14.358 14.358 14.358
angles: 90.00 90.00 90.00
Space group Ia-3d (No. 230)
One atom of each set of equivalent atoms:
Er: 0.000 0.250 0.125 x24
Ni: 0.008 0.071 0.652 x96
Pt: 0.000 0.000 0.000 x16
Pt: 0.000 0.250 0.375 x24

Properties
VASP energy	-5.1961	eV/atom
DOS(E_F)	1.254	states/eV/atom
formation energy	0.47	eV/atom

Record 7
A relaxed ErNi4Pt crystal. Source: the Alexandria database, functional PBE-GGA.

abc: 6.896 6.896 6.896
angles: 90.00 90.00 90.00
Space group F-43m (No. 216)
One atom of each set of equivalent atoms:
Er: 0.000 0.000 0.000 x4
Ni: 0.124 0.124 0.624 x16
Pt: 0.250 0.250 0.250 x4

Properties
VASP energy	-6.0483	eV/atom
DOS(E_F)	1.332	states/eV/atom
formation energy	-0.43	eV/atom

Record 8
A relaxed ErNi3Pt crystal. Source: the Alexandria database, functional PBE-GGA.

abc: 4.774 6.890 9.138
angles: 90.00 90.00 90.00
Space group Imma (No. 74)
One atom of each set of equivalent atoms:
Er: 0.000 0.250 0.003 x4
Ni: 0.000 0.250 0.298 x4
Ni: 0.250 0.058 0.750 x8
Pt: 0.000 0.000 0.500 x4

Properties
VASP energy	-6.0327	eV/atom
DOS(E_F)	1.225	states/eV/atom
formation energy	-0.44	eV/atom

Record 9
A relaxed Er6NiPt5 crystal. Source: the Alexandria database, functional PBE-GGA.

abc: 8.439 14.654 4.881
angles: 90.00 125.27 90.00
Space group C2/m (No. 12)
One atom of each set of equivalent atoms:
Er: 0.249 0.000 0.249 x4
Er: 0.249 0.165 0.749 x8
Ni: 0.000 0.000 0.500 x2
Pt: 0.000 0.163 0.000 x4
Pt: 0.000 0.330 0.500 x4
Pt: 0.000 0.500 0.000 x2

Properties
VASP energy	-6.4110	eV/atom
DOS(E_F)	0.566	states/eV/atom
formation energy	-1.13	eV/atom

Record 10
A relaxed Er6Ni2Pt crystal. Source: the Alexandria database, functional PBE-GGA.

abc: 6.411 7.009 11.646
angles: 90.00 120.20 90.00
Space group P2_1/c (No. 14)
One atom of each set of equivalent atoms:
Er: 0.078 0.185 0.425 x4
Er: 0.236 0.667 0.419 x4
Er: 0.410 0.052 0.243 x4
Ni: 0.176 0.115 0.734 x4
Pt: 0.500 0.000 0.500 x2

Properties
VASP energy	-5.4448	eV/atom
DOS(E_F)	0.881	states/eV/atom
distance to the lowest polymorph of the same formula	0.74	eV/f.u.
formation energy	-0.45	eV/atom

Record 11
A relaxed Er2NiPt9 crystal. Source: the Alexandria database, functional PBE-GGA.

abc: 4.047 4.047 12.059
angles: 90.00 90.00 90.00
Space group P4/mmm (No. 123)
One atom of each set of equivalent atoms:
Er: 0.000 0.000 0.173 x2
Ni: 0.000 0.000 0.500 x1
Pt: 0.000 0.500 0.000 x2
Pt: 0.000 0.500 0.346 x4
Pt: 0.500 0.500 0.173 x2
Pt: 0.500 0.500 0.500 x1

Properties
VASP energy	-6.4732	eV/atom
DOS(E_F)	1.373	states/eV/atom
formation energy	-0.70	eV/atom

Record 12
A relaxed Er3NiPt2 crystal. Source: the Alexandria database, functional PBE-GGA.

abc: 11.295 4.077 11.233
angles: 90.00 90.00 90.00
Space group Pnma (No. 62)
One atom of each set of equivalent atoms:
Er: 0.049 0.250 0.125 x4
Er: 0.121 0.750 0.559 x4
Er: 0.218 0.250 0.806 x4
Ni: 0.125 0.250 0.374 x4
Pt: 0.006 0.750 0.309 x4
Pt: 0.184 0.750 0.998 x4

Properties
VASP energy	-6.2730	eV/atom
DOS(E_F)	0.424	states/eV/atom
formation energy	-1.01	eV/atom

- Among the records above, which one has the highest VASP energy?
  Er3Ni12Pt5